Entry 1:
A geometry-optimized LaPr2In structure, computed with GGA-PBE. Values from VASP.

```
&SYSTEM
  ibrav = 0, nat = 4, ntyp = 3
/
ATOMIC_SPECIES
Pr 140.91 Pr.upf
In 114.82 In.upf
La 138.91 La.upf
ATOMIC_POSITIONS crystal
Pr 0.095 0.095 0.715
Pr 0.905 0.905 0.285
In 0.500 0.500 0.500
La 0.000 0.000 0.000
CELL_PARAMETERS angstrom
-3.206 -1.214 -1.044
-2.410 -1.028 2.445
-6.316 10.640 0.873
```

For the energy of formation, the calculation gives 11 meV per atom. The spin magnetization comes out at 0.0 μB/cell. Its total energy is -17.18 eV/f.u. The energy above the most stable polymorph in this dataset comes out at 297 meV per atom. The space group is R-3m (166).

***

Entry 2:
A geometry-optimized CsRb2NiI6 structure, computed with GGA-PBE. Values from VASP.

```
&SYSTEM
  ibrav = 0, nat = 10, ntyp = 4
/
ATOMIC_SPECIES
Cs 132.91 Cs.upf
I 126.90 I.upf
Rb 85.47 Rb.upf
Ni 58.69 Ni.upf
ATOMIC_POSITIONS crystal
Cs 0.000 0.000 0.000
I 0.285 0.285 0.430
I 0.715 0.715 0.570
I 0.285 0.285 0.000
I 0.715 0.715 0.000
I 0.715 0.285 0.000
I 0.285 0.715 0.000
Rb 0.750 0.250 0.500
Rb 0.250 0.750 0.500
Ni 0.500 0.500 0.000
CELL_PARAMETERS angstrom
-0.007 3.584 -8.063
0.998 -8.011 -3.562
-5.703 -2.860 -6.095
```

The spin magnetization comes out at 1.0 μB/cell. The energy relative to the elements, uncorrected comes out at -0.8036 eV/atom. Its total energy is -25.91 eV/f.u. The space group is Fm-3m (225).

***

Entry 3:
A geometry-optimized BeCl2 structure, computed with GGA-PBE. Values from VASP.

```
&SYSTEM
  ibrav = 0, nat = 6, ntyp = 2
/
ATOMIC_SPECIES
Be 9.01 Be.upf
Cl 35.45 Cl.upf
ATOMIC_POSITIONS crystal
Be 0.500 0.500 0.500
Be 0.750 0.750 0.750
Cl 0.625 0.125 0.125
Cl 0.125 0.625 0.125
Cl 0.125 0.125 0.625
Cl 0.125 0.125 0.125
CELL_PARAMETERS angstrom
0.000 4.183 4.183
4.183 0.000 4.183
4.183 4.183 0.000
```

The spin magnetization comes out at 4.1 μB/cell. The energy relative to the elements, uncorrected comes out at 1.2540 eV/atom. Its total energy is -3.66 eV/f.u. The energy above the most stable polymorph in this dataset comes out at 2688 meV per atom. The space group is Fd-3m (227).

***

Entry 4:
A geometry-optimized Sr2ZnSn4Au3 structure, computed with GGA-PBE. Values from VASP.

```
&SYSTEM
  ibrav = 0, nat = 10, ntyp = 4
/
ATOMIC_SPECIES
Sr 87.62 Sr.upf
Zn 65.41 Zn.upf
Sn 118.71 Sn.upf
Au 196.97 Au.upf
ATOMIC_POSITIONS crystal
Sr 0.500 0.000 0.259
Sr 0.000 0.500 0.741
Zn 0.500 0.500 0.500
Sn 0.500 0.500 0.000
Sn 0.000 0.000 0.000
Sn 0.500 0.000 0.629
Sn 0.000 0.500 0.371
Au 0.000 0.000 0.500
Au 0.500 0.000 0.860
Au 0.000 0.500 0.140
CELL_PARAMETERS angstrom
-0.794 1.565 4.336
-4.487 0.744 -1.090
-2.638 -10.870 3.439
```

For the energy of formation, the calculation gives -520 meV per atom. The spin magnetization comes out at 0.0 μB/cell. Its total energy is -35.68 eV/f.u. The space group is P-4m2 (115).

***

Entry 5:
A geometry-optimized ZrUIr structure, computed with GGA-PBE. Values from VASP.

```
&SYSTEM
  ibrav = 0, nat = 6, ntyp = 3
/
ATOMIC_SPECIES
U 238.03 U.upf
Zr 91.22 Zr.upf
Ir 192.22 Ir.upf
ATOMIC_POSITIONS crystal
U 0.667 0.333 0.750
U 0.333 0.667 0.250
Zr 0.333 0.667 0.750
Zr 0.667 0.333 0.250
Ir 0.000 0.000 0.000
Ir 0.000 0.000 0.500
CELL_PARAMETERS angstrom
4.706 -0.805 0.000
-1.653 4.479 0.000
0.000 0.000 5.805
```

For the energy of formation, the calculation gives 36 meV per atom. The spin magnetization comes out at 3.6 μB/cell. Its total energy is -28.59 eV/f.u. The space group is P6_3/mmc (194).

***

Entry 6:
A geometry-optimized La8Pm2Nd3 structure, computed with GGA-PBE. Values from VASP.

```
&SYSTEM
  ibrav = 0, nat = 13, ntyp = 3
/
ATOMIC_SPECIES
La 138.91 La.upf
Pm 145.00 Pm.upf
Nd 144.24 Nd.upf
ATOMIC_POSITIONS crystal
La 0.216 0.544 0.544
La 0.784 0.456 0.456
La 0.924 0.138 0.138
La 0.076 0.862 0.862
La 0.664 0.563 0.096
La 0.664 0.096 0.563
La 0.336 0.904 0.437
La 0.336 0.437 0.904
Pm 0.299 0.285 0.285
Pm 0.701 0.715 0.715
Nd 0.500 0.000 0.000
Nd 0.000 0.247 0.753
Nd 0.000 0.753 0.247
CELL_PARAMETERS angstrom
-2.385 5.835 -0.249
-1.894 2.599 8.498
6.854 5.860 1.117
```

For the energy of formation, the calculation gives 134 meV per atom. The spin magnetization comes out at 0.0 μB/cell. Its total energy is -61.48 eV/f.u. The space group is C2/m (12).

***

Entry 7:
A geometry-optimized NaPdI2 structure, computed with GGA-PBE. Values from VASP.

```
&SYSTEM
  ibrav = 0, nat = 4, ntyp = 3
/
ATOMIC_SPECIES
I 126.90 I.upf
Na 22.99 Na.upf
Pd 106.42 Pd.upf
ATOMIC_POSITIONS crystal
I 0.250 0.250 0.250
I 0.750 0.750 0.750
Na 0.000 0.000 0.000
Pd 0.500 0.500 0.500
CELL_PARAMETERS angstrom
-0.608 -4.985 1.902
-4.414 -1.298 2.770
-3.665 -3.273 -2.167
```

The spin magnetization comes out at 0.5 μB/cell. The energy relative to the elements, uncorrected comes out at -0.2087 eV/atom. Its total energy is -10.45 eV/f.u. The energy above the most stable polymorph in this dataset comes out at 281 meV per atom. The space group is Fm-3m (225).

***

Entry 8:
A geometry-optimized Ta4RhW2 structure, computed with GGA-PBE. Values from VASP.

```
&SYSTEM
  ibrav = 0, nat = 7, ntyp = 3
/
ATOMIC_SPECIES
Ta 180.95 Ta.upf
Rh 102.91 Rh.upf
W 183.84 W.upf
ATOMIC_POSITIONS crystal
Ta 0.500 0.000 0.000
Ta 0.500 0.500 0.500
Ta 0.000 0.000 0.500
Ta 0.000 0.500 0.000
Rh 0.000 0.000 0.000
W 0.500 0.500 0.000
W 0.500 0.000 0.500
CELL_PARAMETERS angstrom
5.195 -0.029 -1.846
-2.598 4.509 -1.822
-0.016 0.029 5.513
```

For the energy of formation, the calculation gives 111 meV per atom. The spin magnetization comes out at 0.0 μB/cell. Its total energy is -79.89 eV/f.u. The space group is I4/mmm (139).

***

Entry 9:
A geometry-optimized As4Ir structure, computed with GGA-PBE. Values from VASP.

```
&SYSTEM
  ibrav = 0, nat = 5, ntyp = 2
/
ATOMIC_SPECIES
As 74.92 As.upf
Ir 192.22 Ir.upf
ATOMIC_POSITIONS crystal
As 0.500 0.000 0.000
As 0.500 0.500 0.500
As 0.000 0.500 0.000
As 0.000 0.000 0.500
Ir 0.000 0.000 0.000
CELL_PARAMETERS angstrom
-0.093 -2.891 4.284
-2.993 4.162 0.664
-1.766 -2.774 -3.989
```

For the energy of formation, the calculation gives 444 meV per atom. The spin magnetization comes out at 0.0 μB/cell. Its total energy is -25.24 eV/f.u. The energy above the most stable polymorph in this dataset comes out at 417 meV per atom. The space group is Im-3m (229).

***

Entry 10:
A geometry-optimized Gd2CoTc structure, computed with GGA-PBE. Values from VASP.

```
&SYSTEM
  ibrav = 0, nat = 4, ntyp = 3
/
ATOMIC_SPECIES
Gd 157.25 Gd.upf
Co 58.93 Co.upf
Tc 98.00 Tc.upf
ATOMIC_POSITIONS crystal
Gd 0.250 0.250 0.250
Gd 0.750 0.750 0.750
Co 0.500 0.500 0.500
Tc 0.000 0.000 0.000
CELL_PARAMETERS angstrom
4.829 0.000 0.000
2.415 4.182 0.000
2.415 1.394 3.943
```

For the energy of formation, the calculation gives 94 meV per atom. The spin magnetization comes out at 13.1 μB/cell. Its total energy is -45.26 eV/f.u. The energy above the most stable polymorph in this dataset comes out at 31 meV per atom. The space group is Fm-3m (225).

***

Entry 11:
A geometry-optimized Pu3AsP2Rh9 structure, computed with GGA-PBE. Values from VASP.

```
&SYSTEM
  ibrav = 0, nat = 15, ntyp = 4
/
ATOMIC_SPECIES
Pu 244.00 Pu.upf
As 74.92 As.upf
P 30.97 P.upf
Rh 102.91 Rh.upf
ATOMIC_POSITIONS crystal
Pu 0.333 0.667 0.677
Pu 0.000 0.000 0.000
Pu 0.667 0.333 0.323
As 0.000 0.000 0.500
P 0.333 0.667 0.171
P 0.667 0.333 0.829
Rh 0.852 0.148 0.720
Rh 0.852 0.703 0.720
Rh 0.297 0.148 0.720
Rh 0.703 0.852 0.280
Rh 0.148 0.297 0.280
Rh 0.148 0.852 0.280
Rh 0.500 0.000 0.000
Rh 0.000 0.500 0.000
Rh 0.500 0.500 0.000
CELL_PARAMETERS angstrom
6.190 0.000 0.000
-3.095 5.361 0.000
0.000 0.000 8.467
```

For the energy of formation, the calculation gives -457 meV per atom. The spin magnetization comes out at 15.1 μB/cell. Its total energy is -131.48 eV/f.u. The space group is P-3m1 (164).

***

Entry 12:
A geometry-optimized TaMoOs2 structure, computed with GGA-PBE. Values from VASP.

```
&SYSTEM
  ibrav = 0, nat = 4, ntyp = 3
/
ATOMIC_SPECIES
Mo 95.94 Mo.upf
Os 190.23 Os.upf
Ta 180.95 Ta.upf
ATOMIC_POSITIONS crystal
Mo 0.500 0.500 0.750
Os 0.000 0.000 0.991
Os 0.000 0.000 0.509
Ta 0.500 0.500 0.250
CELL_PARAMETERS angstrom
2.797 0.492 0.000
-0.492 2.797 0.000
0.000 0.000 7.762
```

For the energy of formation, the calculation gives -30 meV per atom. The spin magnetization comes out at 0.0 μB/cell. Its total energy is -45.26 eV/f.u. The energy above the most stable polymorph in this dataset comes out at 3 meV per atom. The space group is P4/mmm (123).

***

Entry 13:
A geometry-optimized CeScAg structure, computed with GGA-PBE. Values from VASP.

```
&SYSTEM
  ibrav = 0, nat = 3, ntyp = 3
/
ATOMIC_SPECIES
Sc 44.96 Sc.upf
Ag 107.87 Ag.upf
Ce 140.12 Ce.upf
ATOMIC_POSITIONS crystal
Sc 0.502 0.667 0.333
Ag 0.498 0.333 0.667
Ce 0.000 0.000 0.000
CELL_PARAMETERS angstrom
3.445 0.000 0.000
0.000 4.996 0.000
0.000 -2.498 4.327
```

For the energy of formation, the calculation gives 58 meV per atom. The spin magnetization comes out at 1.4 μB/cell. Its total energy is -14.94 eV/f.u. The energy above the most stable polymorph in this dataset comes out at 132 meV per atom. The space group is P3m1 (156).

***

Entry 14:
A geometry-optimized PrSi2Pd4 structure, computed with GGA-PBE. Values from VASP.

```
&SYSTEM
  ibrav = 0, nat = 14, ntyp = 3
/
ATOMIC_SPECIES
Pr 140.91 Pr.upf
Si 28.09 Si.upf
Pd 106.42 Pd.upf
ATOMIC_POSITIONS crystal
Pr 0.500 0.000 0.000
Pr 0.000 0.500 0.500
Si 0.000 0.224 0.776
Si 0.000 0.776 0.224
Si 0.500 0.724 0.724
Si 0.500 0.276 0.276
Pd 0.000 0.080 0.327
Pd 0.000 0.920 0.673
Pd 0.500 0.173 0.580
Pd 0.500 0.827 0.420
Pd 0.500 0.420 0.827
Pd 0.500 0.580 0.173
Pd 0.000 0.327 0.080
Pd 0.000 0.673 0.920
CELL_PARAMETERS angstrom
-0.768 -3.579 -1.009
5.113 0.609 -6.052
5.866 -2.583 4.697
```

The spin magnetization comes out at 0.0 μB/cell. The energy relative to the elements, uncorrected comes out at -0.8058 eV/atom. Its total energy is -42.04 eV/f.u. The space group is P4_2/mnm (136).

***

Entry 15:
A geometry-optimized Sr3CaAu7 structure, computed with GGA-PBE. Values from VASP.

```
&SYSTEM
  ibrav = 0, nat = 22, ntyp = 3
/
ATOMIC_SPECIES
Sr 87.62 Sr.upf
Ca 40.08 Ca.upf
Au 196.97 Au.upf
ATOMIC_POSITIONS crystal
Sr 0.126 0.253 0.450
Sr 0.874 0.747 0.550
Sr 0.225 0.450 0.750
Sr 0.775 0.550 0.250
Sr 0.126 0.253 0.050
Sr 0.874 0.747 0.950
Ca 0.981 0.963 0.250
Ca 0.019 0.037 0.750
Au 0.389 0.779 0.750
Au 0.611 0.221 0.250
Au 0.518 0.036 0.402
Au 0.482 0.964 0.598
Au 0.482 0.964 0.902
Au 0.518 0.036 0.098
Au 0.390 0.781 0.355
Au 0.610 0.219 0.645
Au 0.275 0.551 0.443
Au 0.725 0.449 0.557
Au 0.725 0.449 0.943
Au 0.275 0.551 0.057
Au 0.390 0.781 0.145
Au 0.610 0.219 0.855
CELL_PARAMETERS angstrom
-3.946 1.160 -0.690
2.052 -5.908 -9.070
-4.296 -10.949 6.160
```

For the energy of formation, the calculation gives -687 meV per atom. The spin magnetization comes out at 0.0 μB/cell. Its total energy is -37.55 eV/f.u. The space group is Cmcm (63).

***

Entry 16:
A geometry-optimized LiTc2Ni structure, computed with GGA-PBE. Values from VASP.

```
&SYSTEM
  ibrav = 0, nat = 4, ntyp = 3
/
ATOMIC_SPECIES
Li 6.94 Li.upf
Ni 58.69 Ni.upf
Tc 98.00 Tc.upf
ATOMIC_POSITIONS crystal
Li 0.495 0.495 0.495
Ni 0.749 0.749 0.749
Tc 0.001 0.001 0.001
Tc 0.254 0.254 0.254
CELL_PARAMETERS angstrom
8.857 -0.010 -0.006
8.446 2.666 -0.006
8.446 1.296 2.330
```

For the energy of formation, the calculation gives 110 meV per atom. The spin magnetization comes out at 0.2 μB/cell. Its total energy is -27.99 eV/f.u. The energy above the most stable polymorph in this dataset comes out at 0 meV per atom. The space group is R3m (160).

***

Entry 17:
A geometry-optimized CeZn2Ge structure, computed with GGA-PBE. Values from VASP.

```
&SYSTEM
  ibrav = 0, nat = 4, ntyp = 3
/
ATOMIC_SPECIES
Ce 140.12 Ce.upf
Zn 65.41 Zn.upf
Ge 72.64 Ge.upf
ATOMIC_POSITIONS crystal
Ce 0.500 0.772 0.544
Zn 0.000 0.084 0.168
Zn 0.500 0.275 0.549
Ge 0.000 0.472 0.945
CELL_PARAMETERS angstrom
-2.125 -0.504 3.650
-4.970 0.915 -2.767
2.208 -3.878 0.750
```

For the energy of formation, the calculation gives -151 meV per atom. The spin magnetization comes out at 0.7 μB/cell. Its total energy is -13.70 eV/f.u. The energy above the most stable polymorph in this dataset comes out at 185 meV per atom. The space group is Amm2 (38).

***

Entry 18:
A geometry-optimized Zr3Ti2Bi3 structure, computed with GGA-PBE. Values from VASP.

```
&SYSTEM
  ibrav = 0, nat = 16, ntyp = 3
/
ATOMIC_SPECIES
Zr 91.22 Zr.upf
Ti 47.87 Ti.upf
Bi 208.98 Bi.upf
ATOMIC_POSITIONS crystal
Zr 0.924 0.849 0.411
Zr 0.076 0.151 0.911
Zr 0.924 0.849 0.089
Zr 0.076 0.151 0.589
Zr 0.733 0.465 0.250
Zr 0.267 0.535 0.750
Ti 0.745 0.489 0.923
Ti 0.255 0.511 0.423
Ti 0.745 0.489 0.577
Ti 0.255 0.511 0.077
Bi 0.598 0.196 0.415
Bi 0.402 0.804 0.915
Bi 0.598 0.196 0.085
Bi 0.402 0.804 0.585
Bi 0.389 0.778 0.250
Bi 0.611 0.222 0.750
CELL_PARAMETERS angstrom
-0.422 -1.734 -3.441
-2.114 -5.099 5.011
-13.034 4.665 -0.751
```

For the energy of formation, the calculation gives -199 meV per atom. The spin magnetization comes out at 0.0 μB/cell. Its total energy is -54.67 eV/f.u. The energy above the most stable polymorph in this dataset comes out at 46 meV per atom. The space group is Cmcm (63).

***

Entry 19:
A geometry-optimized LiAl6Au12 structure, computed with GGA-PBE. Values from VASP.

```
&SYSTEM
  ibrav = 0, nat = 19, ntyp = 3
/
ATOMIC_SPECIES
Li 6.94 Li.upf
Al 26.98 Al.upf
Au 196.97 Au.upf
ATOMIC_POSITIONS crystal
Li 0.000 0.000 0.000
Al 0.695 0.288 0.288
Al 0.288 0.288 0.695
Al 0.288 0.695 0.288
Al 0.712 0.712 0.305
Al 0.305 0.712 0.712
Al 0.712 0.305 0.712
Au 0.880 0.120 0.500
Au 0.871 0.632 0.632
Au 0.632 0.632 0.871
Au 0.368 0.129 0.368
Au 0.368 0.368 0.129
Au 0.129 0.368 0.368
Au 0.120 0.500 0.880
Au 0.500 0.880 0.120
Au 0.120 0.880 0.500
Au 0.880 0.500 0.120
Au 0.500 0.120 0.880
Au 0.632 0.871 0.632
CELL_PARAMETERS angstrom
7.547 -0.204 -0.287
-2.068 7.261 -0.287
-2.068 -2.664 6.760
```

For the energy of formation, the calculation gives -284 meV per atom. The spin magnetization comes out at 0.0 μB/cell. Its total energy is -69.09 eV/f.u. The energy above the most stable polymorph in this dataset comes out at 27 meV per atom. The space group is R-3m (166).

***

Entry 20:
A geometry-optimized ZrBe2Nb structure, computed with GGA-PBE. Values from VASP.

```
&SYSTEM
  ibrav = 0, nat = 8, ntyp = 3
/
ATOMIC_SPECIES
Be 9.01 Be.upf
Nb 92.91 Nb.upf
Zr 91.22 Zr.upf
ATOMIC_POSITIONS crystal
Be 0.639 0.125 0.250
Be 0.111 0.625 0.250
Be 0.375 0.361 0.750
Be 0.875 0.889 0.750
Nb 0.000 0.000 0.000
Nb 0.750 0.250 0.500
Zr 0.500 0.500 0.000
Zr 0.250 0.750 0.500
CELL_PARAMETERS angstrom
-0.754 -3.189 6.094
1.411 -6.071 -3.003
2.852 -4.287 2.037
```

For the energy of formation, the calculation gives 381 meV per atom. The spin magnetization comes out at 0.0 μB/cell. Its total energy is -24.54 eV/f.u. The energy above the most stable polymorph in this dataset comes out at 420 meV per atom. The space group is I-42d (122).